TaCd2Co2 PBE relaxed; spin magnetization = 0.73 μB/f.u.; E above lowest polymorph = 0 meV per atom; DFT total energy = -5.3147 eV per atom; energy of formation from the pure elements = 1.3 eV per formula unit; volume = 164 Å³/cell
1.0
6.2134 0.0000 0.0000
0.0000 6.2134 0.0000
0.0000 0.0000 4.2570
Cd Co Ta
4 4 2
Direct
0.1744 0.6744 0.5000
0.6744 0.8256 0.5000
0.8256 0.3256 0.5000
0.3256 0.1744 0.5000
0.3717 0.8717 0.0000
0.8717 0.6283 0.0000
0.6283 0.1283 0.0000
0.1283 0.3717 0.0000
0.0000 0.0000 0.0000
0.5000 0.5000 0.0000